Record 1
The following is a GGA-PBE calculation of an optimized crystal structure of NbCr2TcPd, from Alexandria via LeMat-Bulk.

CIF file:
```
data_NbCr2TcPd
_chemical_formula_sum 'Nb1 Cr2 Tc1 Pd1'
_symmetry_space_group_name_H-M 'P 4/m m m'
_symmetry_Int_Tables_number 123
_symmetry_space_group_name_Hall '-P 4 2'
_cell_length_a 4.329
_cell_length_b 4.329
_cell_length_c 4.821
_cell_angle_alpha 90.00
_cell_angle_beta 90.00
_cell_angle_gamma 90.00
loop_
_atom_site_label
_atom_site_type_symbol
_atom_site_fract_x
_atom_site_fract_y
_atom_site_fract_z
Nb1 Nb 0.000 0.000 0.000
Cr1 Cr 0.000 0.500 0.500
Tc1 Tc 0.500 0.500 0.500
Pd1 Pd 0.500 0.500 0.000
```

Values from the calculation:
- Formation enthalpy at 0 K: 1.366 eV/atom

=====

Record 2
The following is a GGA-PBE calculation of an optimized crystal structure of Ca3ScOs, from Alexandria via LeMat-Bulk.

CIF file:
```
data_Ca3ScOs
_chemical_formula_sum 'Ca3 Sc1 Os1'
_symmetry_space_group_name_H-M 'P m -3 m'
_symmetry_Int_Tables_number 221
_symmetry_space_group_name_Hall '-P 4 2 3'
_cell_length_a 5.435
_cell_length_b 5.435
_cell_length_c 5.435
_cell_angle_alpha 90.00
_cell_angle_beta 90.00
_cell_angle_gamma 90.00
loop_
_atom_site_label
_atom_site_type_symbol
_atom_site_fract_x
_atom_site_fract_y
_atom_site_fract_z
Ca1 Ca 0.000 0.000 0.500
Sc1 Sc 0.000 0.000 0.000
Os1 Os 0.500 0.500 0.500
```

Values from the calculation:
- Formation enthalpy at 0 K: 1.798 eV/atom

=====

Record 3
The following is a GGA-PBE calculation of an optimized crystal structure of CaZn2TcO6, from Alexandria via LeMat-Bulk.

CIF file:
```
data_CaZn2TcO6
_chemical_formula_sum 'Ca4 Zn8 Tc4 O24'
_symmetry_space_group_name_H-M 'C 1 2/c 1'
_symmetry_Int_Tables_number 15
_symmetry_space_group_name_Hall '-C 2yc'
_cell_length_a 11.533
_cell_length_b 9.956
_cell_length_c 6.371
_cell_angle_alpha 90.00
_cell_angle_beta 120.97
_cell_angle_gamma 90.00
loop_
_atom_site_label
_atom_site_type_symbol
_atom_site_fract_x
_atom_site_fract_y
_atom_site_fract_z
Ca1 Ca 0.000 0.243 0.250
Zn1 Zn 0.195 0.030 0.199
Tc1 Tc 0.000 0.319 0.750
O1 O 0.101 0.397 0.645
O2 O 0.114 0.225 0.019
O3 O 0.163 0.086 0.447
```

=====

Record 4
The following is a GGA-PBE calculation of an optimized crystal structure of Ac2TbScHg6, from Alexandria via LeMat-Bulk.

CIF file:
```
data_Ac2TbScHg6
_chemical_formula_sum 'Ac8 Tb4 Sc4 Hg24'
_symmetry_space_group_name_H-M 'F m -3 m'
_symmetry_Int_Tables_number 225
_symmetry_space_group_name_Hall '-F 4 2 3'
_cell_length_a 10.986
_cell_length_b 10.986
_cell_length_c 10.986
_cell_angle_alpha 90.00
_cell_angle_beta 90.00
_cell_angle_gamma 90.00
loop_
_atom_site_label
_atom_site_type_symbol
_atom_site_fract_x
_atom_site_fract_y
_atom_site_fract_z
Ac1 Ac 0.250 0.250 0.250
Tb1 Tb 0.000 0.000 0.000
Sc1 Sc 0.000 0.000 0.500
Hg1 Hg 0.000 0.000 0.256
```

Values from the calculation:
- Formation enthalpy at 0 K: -0.016 eV/atom

=====

Record 5
The following is a GGA-PBE calculation of an optimized crystal structure of ScMoIr2, from Alexandria via LeMat-Bulk.

CIF file:
```
data_ScMoIr2
_chemical_formula_sum 'Sc2 Mo2 Ir4'
_symmetry_space_group_name_H-M 'I -4 m 2'
_symmetry_Int_Tables_number 119
_symmetry_space_group_name_Hall 'I -4 -2'
_cell_length_a 3.895
_cell_length_b 3.895
_cell_length_c 8.390
_cell_angle_alpha 90.00
_cell_angle_beta 90.00
_cell_angle_gamma 90.00
loop_
_atom_site_label
_atom_site_type_symbol
_atom_site_fract_x
_atom_site_fract_y
_atom_site_fract_z
Sc1 Sc 0.000 0.000 0.000
Mo1 Mo 0.000 0.500 0.750
Ir1 Ir 0.000 0.000 0.500
Ir2 Ir 0.000 0.500 0.250
```

Values from the calculation:
- Formation enthalpy at 0 K: -0.357 eV/atom

=====

Record 6
The following is a GGA-PBE calculation of an optimized crystal structure of Mg4PdRh3, from Alexandria via LeMat-Bulk.

CIF file:
```
data_Mg4PdRh3
_chemical_formula_sum 'Mg8 Pd2 Rh6'
_symmetry_space_group_name_H-M 'I 4/m m m'
_symmetry_Int_Tables_number 139
_symmetry_space_group_name_Hall '-I 4 2'
_cell_length_a 4.426
_cell_length_b 4.426
_cell_length_c 12.537
_cell_angle_alpha 90.00
_cell_angle_beta 90.00
_cell_angle_gamma 90.00
loop_
_atom_site_label
_atom_site_type_symbol
_atom_site_fract_x
_atom_site_fract_y
_atom_site_fract_z
Mg1 Mg 0.000 0.500 0.127
Pd1 Pd 0.000 0.000 0.000
Rh1 Rh 0.000 0.000 0.251
Rh2 Rh 0.000 0.000 0.500
```

Values from the calculation:
- Formation enthalpy at 0 K: -0.558 eV/atom

=====

Record 7
The following is a GGA-PBE calculation of an optimized crystal structure of Al2ZnRu, from Alexandria via LeMat-Bulk.

CIF file:
```
data_Al2ZnRu
_chemical_formula_sum 'Al2 Zn1 Ru1'
_symmetry_space_group_name_H-M 'P 4/m m m'
_symmetry_Int_Tables_number 123
_symmetry_space_group_name_Hall '-P 4 2'
_cell_length_a 3.189
_cell_length_b 3.189
_cell_length_c 5.597
_cell_angle_alpha 90.00
_cell_angle_beta 90.00
_cell_angle_gamma 90.00
loop_
_atom_site_label
_atom_site_type_symbol
_atom_site_fract_x
_atom_site_fract_y
_atom_site_fract_z
Al1 Al 0.000 0.000 0.240
Zn1 Zn 0.500 0.500 0.500
Ru1 Ru 0.500 0.500 0.000
```

Values from the calculation:
- Formation enthalpy at 0 K: -0.434 eV/atom

=====

Record 8
The following is a GGA-PBE calculation of an optimized crystal structure of InNi5, from Alexandria via LeMat-Bulk.

CIF file:
```
data_InNi5
_chemical_formula_sum 'In1 Ni5'
_symmetry_space_group_name_H-M 'P 6/m m m'
_symmetry_Int_Tables_number 191
_symmetry_space_group_name_Hall '-P 6 2'
_cell_length_a 4.7213
_cell_length_b 4.7213
_cell_length_c 4.0699
_cell_angle_alpha 90.00
_cell_angle_beta 90.00
_cell_angle_gamma 120.00
loop_
_atom_site_label
_atom_site_type_symbol
_atom_site_fract_x
_atom_site_fract_y
_atom_site_fract_z
In1 In 0.0000 0.0000 0.0000
Ni1 Ni 0.0000 0.5000 0.5000
Ni2 Ni 0.3333 0.6667 0.0000
```

Values from the calculation:
- Formation enthalpy at 0 K: 0.047 eV/atom

=====

Record 9
The following is a GGA-PBE calculation of an optimized crystal structure of TcNi2Cl, from Alexandria via LeMat-Bulk.

CIF file:
```
data_TcNi2Cl
_chemical_formula_sum 'Tc4 Ni8 Cl4'
_symmetry_space_group_name_H-M 'F -4 3 m'
_symmetry_Int_Tables_number 216
_symmetry_space_group_name_Hall 'F -4 2 3'
_cell_length_a 5.903
_cell_length_b 5.903
_cell_length_c 5.903
_cell_angle_alpha 90.00
_cell_angle_beta 90.00
_cell_angle_gamma 90.00
loop_
_atom_site_label
_atom_site_type_symbol
_atom_site_fract_x
_atom_site_fract_y
_atom_site_fract_z
Tc1 Tc 0.000 0.000 0.000
Ni1 Ni 0.000 0.000 0.500
Ni2 Ni 0.250 0.250 0.250
Cl1 Cl 0.250 0.250 0.750
```

=====

Record 10
The following is a GGA-PBE calculation of an optimized crystal structure of TbY2Th, from Alexandria via LeMat-Bulk.

CIF file:
```
data_TbY2Th
_chemical_formula_sum 'Tb4 Y8 Th4'
_symmetry_space_group_name_H-M 'F m -3 m'
_symmetry_Int_Tables_number 225
_symmetry_space_group_name_Hall '-F 4 2 3'
_cell_length_a 8.048
_cell_length_b 8.048
_cell_length_c 8.048
_cell_angle_alpha 90.00
_cell_angle_beta 90.00
_cell_angle_gamma 90.00
loop_
_atom_site_label
_atom_site_type_symbol
_atom_site_fract_x
_atom_site_fract_y
_atom_site_fract_z
Tb1 Tb 0.000 0.000 0.000
Y1 Y 0.250 0.250 0.250
Th1 Th 0.000 0.000 0.500
```

Values from the calculation:
- Formation enthalpy at 0 K: 0.145 eV/atom

=====

Record 11
The following is a GGA-PBE calculation of an optimized crystal structure of Pm2Ho13, from Alexandria via LeMat-Bulk.

CIF file:
```
data_Pm2Ho13
_chemical_formula_sum 'Pm2 Ho13'
_symmetry_space_group_name_H-M 'P -1'
_symmetry_Int_Tables_number 2
_symmetry_space_group_name_Hall '-P 1'
_cell_length_a 6.583
_cell_length_b 8.695
_cell_length_c 8.960
_cell_angle_alpha 69.11
_cell_angle_beta 83.98
_cell_angle_gamma 80.70
loop_
_atom_site_label
_atom_site_type_symbol
_atom_site_fract_x
_atom_site_fract_y
_atom_site_fract_z
Pm1 Pm 0.199 0.305 0.397
Ho1 Ho 0.000 0.500 0.000
Ho2 Ho 0.096 0.925 0.693
Ho3 Ho 0.135 0.697 0.265
Ho4 Ho 0.238 0.075 0.976
Ho5 Ho 0.334 0.498 0.669
Ho6 Ho 0.430 0.922 0.359
Ho7 Ho 0.467 0.697 0.935
```

Values from the calculation:
- Formation enthalpy at 0 K: 0.048 eV/atom

=====

Record 12
The following is a GGA-PBE calculation of an optimized crystal structure of Tl2VSe2, from Alexandria via LeMat-Bulk.

CIF file:
```
data_Tl2VSe2
_chemical_formula_sum 'Tl4 V2 Se4'
_symmetry_space_group_name_H-M 'P 4/m b m'
_symmetry_Int_Tables_number 127
_symmetry_space_group_name_Hall '-P 4 2ab'
_cell_length_a 6.628
_cell_length_b 6.628
_cell_length_c 5.843
_cell_angle_alpha 90.00
_cell_angle_beta 90.00
_cell_angle_gamma 90.00
loop_
_atom_site_label
_atom_site_type_symbol
_atom_site_fract_x
_atom_site_fract_y
_atom_site_fract_z
Tl1 Tl 0.184 0.316 0.000
V1 V 0.000 0.000 0.500
Se1 Se 0.163 0.663 0.500
```

=====

no.,total DFT energy (no corrections) (eV per cell)
1,-38.04
2,-14.58
3,-242.30
4,-84.59
5,-72.63
6,-76.17
7,-19.77
8,-31.36
9,-84.25
10,-97.59
11,-68.29
12,-43.56